# 1
# BaTlRe2Si (GGA-PBE, relaxed)
# * E_tot: -28.86 eV/f.u.
# * energy relative to the elements, uncorrected: 1.15 eV per atom
data_BaTlRe2Si
_chemical_formula_sum 'Ba1 Tl1 Re2 Si1'
_cell_length_a 4.634
_cell_length_b 4.634
_cell_length_c 5.902
_cell_angle_alpha 90.00
_cell_angle_beta 90.00
_cell_angle_gamma 90.00
_symmetry_space_group_name_H-M 'P 4/m m m'
_symmetry_Int_Tables_number 123
_symmetry_space_group_name_Hall '-P 4 2'
loop_
_atom_site_label
_atom_site_type_symbol
_atom_site_fract_x
_atom_site_fract_y
_atom_site_fract_z
Ba1 Ba 0.000 0.000 0.000
Tl1 Tl 0.500 0.500 0.000
Re1 Re 0.000 0.500 0.500
Si1 Si 0.000 0.000 0.500

=====

# 2
# Ba2ZnReSi (GGA-PBE, relaxed)
# * E_tot: -17.91 eV/f.u.
# * energy relative to the elements, uncorrected: 1.02 eV per atom
data_Ba2ZnReSi
_chemical_formula_sum 'Ba2 Zn1 Re1 Si1'
_cell_length_a 6.262
_cell_length_b 6.262
_cell_length_c 4.347
_cell_angle_alpha 90.00
_cell_angle_beta 90.00
_cell_angle_gamma 90.00
_symmetry_space_group_name_H-M 'P 4/m m m'
_symmetry_Int_Tables_number 123
_symmetry_space_group_name_Hall '-P 4 2'
loop_
_atom_site_label
_atom_site_type_symbol
_atom_site_fract_x
_atom_site_fract_y
_atom_site_fract_z
Ba1 Ba 0.000 0.500 0.000
Zn1 Zn 0.000 0.000 0.000
Re1 Re 0.500 0.500 0.500
Si1 Si 0.000 0.000 0.500

=====

# 3
# Ba2ReSn (GGA-PBE, relaxed)
# * E_tot: -18.34 eV/f.u.
# * formation energy from the elements: 0.489 eV per atom
data_Ba2ReSn
_chemical_formula_sum 'Ba8 Re4 Sn4'
_cell_length_a 11.663
_cell_length_b 11.663
_cell_length_c 5.251
_cell_angle_alpha 90.00
_cell_angle_beta 90.00
_cell_angle_gamma 90.00
_symmetry_space_group_name_H-M 'I -4 2 d'
_symmetry_Int_Tables_number 122
_symmetry_space_group_name_Hall 'I -4 2bw'
loop_
_atom_site_label
_atom_site_type_symbol
_atom_site_fract_x
_atom_site_fract_y
_atom_site_fract_z
Ba1 Ba 0.077 0.750 0.125
Re1 Re 0.000 0.000 0.000
Sn1 Sn 0.000 0.000 0.500

=====

# 4
# BaReSn3 (GGA-PBE, relaxed)
# * energy relative to the lowest polymorph listed for this composition: 0.000 eV/atom
# * E_tot: -26.08 eV/f.u.
# * formation energy from the elements: 0.061 eV per atom
data_BaReSn3
_chemical_formula_sum 'Ba1 Re1 Sn3'
_cell_length_a 5.294
_cell_length_b 5.294
_cell_length_c 5.294
_cell_angle_alpha 90.00
_cell_angle_beta 90.00
_cell_angle_gamma 90.00
_symmetry_space_group_name_H-M 'P m -3 m'
_symmetry_Int_Tables_number 221
_symmetry_space_group_name_Hall '-P 4 2 3'
loop_
_atom_site_label
_atom_site_type_symbol
_atom_site_fract_x
_atom_site_fract_y
_atom_site_fract_z
Ba1 Ba 0.000 0.000 0.000
Re1 Re 0.500 0.500 0.500
Sn1 Sn 0.000 0.500 0.500

=====

# 5
# BaRe3Sn (GGA-PBE, relaxed)
# * energy relative to the lowest polymorph listed for this composition: 1.446 eV/atom
# * E_tot: -24.92 eV/f.u.
# * formation energy from the elements: 3.669 eV per atom
data_BaRe3Sn
_chemical_formula_sum 'Ba1 Re3 Sn1'
_cell_length_a 5.079
_cell_length_b 5.079
_cell_length_c 5.079
_cell_angle_alpha 90.00
_cell_angle_beta 90.00
_cell_angle_gamma 90.00
_symmetry_space_group_name_H-M 'P m -3 m'
_symmetry_Int_Tables_number 221
_symmetry_space_group_name_Hall '-P 4 2 3'
loop_
_atom_site_label
_atom_site_type_symbol
_atom_site_fract_x
_atom_site_fract_y
_atom_site_fract_z
Ba1 Ba 0.000 0.000 0.000
Re1 Re 0.000 0.000 0.500
Sn1 Sn 0.500 0.500 0.500

=====

# 6
# BaRe3Sn (GGA-PBE, relaxed)
# * energy relative to the lowest polymorph listed for this composition: 0.000 eV/atom
# * E_tot: -32.15 eV/f.u.
# * formation energy from the elements: 2.224 eV per atom
data_BaRe3Sn
_chemical_formula_sum 'Ba1 Re3 Sn1'
_cell_length_a 5.058
_cell_length_b 5.058
_cell_length_c 5.058
_cell_angle_alpha 90.00
_cell_angle_beta 90.00
_cell_angle_gamma 90.00
_symmetry_space_group_name_H-M 'P m -3 m'
_symmetry_Int_Tables_number 221
_symmetry_space_group_name_Hall '-P 4 2 3'
loop_
_atom_site_label
_atom_site_type_symbol
_atom_site_fract_x
_atom_site_fract_y
_atom_site_fract_z
Ba1 Ba 0.000 0.000 0.000
Re1 Re 0.000 0.500 0.500
Sn1 Sn 0.500 0.500 0.500